(1)
Here is RbPO2F2 after structural relaxation from Alexandria. Energies are from GGA-PBE.

Computed properties:
space-group type = Pnma, No. 62
uncorrected energy = -5.85 eV per atom
formation energy without anion corrections = -2.51 eV/atom

```
RbPO2F2
1.0
8.496 0.000 0.000
0.000 6.494 0.000
0.000 0.000 7.981
Rb P O F
4 4 8 8
direct
0.150 0.250 0.146
0.350 0.750 0.646
0.650 0.250 0.354
0.850 0.750 0.854
0.095 0.250 0.694
0.405 0.750 0.194
0.595 0.250 0.806
0.905 0.750 0.306
0.100 0.049 0.783
0.100 0.451 0.783
0.400 0.549 0.283
0.400 0.951 0.283
0.600 0.049 0.717
0.600 0.451 0.717
0.900 0.549 0.217
0.900 0.951 0.217
0.052 0.750 0.432
0.229 0.250 0.553
0.271 0.750 0.053
0.448 0.250 0.932
0.552 0.750 0.068
0.729 0.250 0.947
0.771 0.750 0.447
0.948 0.250 0.568
```

(2)
Here is RePOF2 after structural relaxation from Alexandria. Energies are from GGA-PBE.

Computed properties:
space-group type = P4/mmm, No. 123
uncorrected energy = -5.17 eV per atom
formation energy without anion corrections = 0.15 eV/atom
energy above the lowest structure with this stoichiometry = 2.407 eV per formula unit

```
RePOF2
1.0
4.616 0.000 0.000
0.000 4.616 0.000
0.000 0.000 3.400
Re P O F
1 1 1 2
direct
0.000 0.000 0.000
0.500 0.500 0.500
0.500 0.500 0.000
0.000 0.500 0.500
0.500 0.000 0.500
```

(3)
Here is RePOF2 after structural relaxation from Alexandria. Energies are from GGA-PBE.

Computed properties:
space-group type = P4/mmm, No. 123
uncorrected energy = -5.65 eV per atom
formation energy without anion corrections = -0.33 eV/atom
energy above the lowest structure with this stoichiometry = 0.000 eV per formula unit

```
RePOF2
1.0
4.295 0.000 0.000
0.000 4.295 0.000
0.000 0.000 3.788
Re P O F
1 1 1 2
direct
0.000 0.000 0.000
0.500 0.500 0.500
0.000 0.000 0.500
0.000 0.500 0.000
0.500 0.000 0.000
```

(4)
Here is PRhO2F after structural relaxation from Alexandria. Energies are from GGA-PBE.

Computed properties:
space-group type = P4/mmm, No. 123
uncorrected energy = -5.27 eV per atom
formation energy without anion corrections = -0.36 eV/atom

```
PRhO2F
1.0
3.407 0.000 0.000
0.000 3.407 0.000
0.000 0.000 5.475
P Rh O F
1 1 2 1
direct
0.000 0.000 0.000
0.500 0.500 0.500
0.000 0.500 0.000
0.500 0.000 0.000
0.000 0.000 0.500
```

(5)
Here is PRhO2F after structural relaxation from Alexandria. Energies are from GGA-PBE.

Computed properties:
space-group type = P4/mmm, No. 123
uncorrected energy = -4.86 eV per atom
formation energy without anion corrections = 0.05 eV/atom

```
PRhO2F
1.0
3.948 0.000 0.000
0.000 3.948 0.000
0.000 0.000 4.034
P Rh O F
1 1 2 1
direct
0.000 0.000 0.000
0.500 0.500 0.500
0.000 0.500 0.500
0.500 0.000 0.500
0.500 0.500 0.000
```

(6)
Here is PRhO2F after structural relaxation from Alexandria. Energies are from GGA-PBE.

Computed properties:
space-group type = P4/mmm, No. 123
uncorrected energy = -4.00 eV per atom
formation energy without anion corrections = 0.91 eV/atom

```
PRhO2F
1.0
4.135 0.000 0.000
0.000 4.135 0.000
0.000 0.000 3.580
P Rh O F
1 1 2 1
direct
0.000 0.000 0.000
0.500 0.500 0.000
0.000 0.500 0.500
0.500 0.000 0.500
0.000 0.000 0.500
```

(7)
Here is PRhOF2 after structural relaxation from Alexandria. Energies are from GGA-PBE.

Computed properties:
space-group type = P4/mmm, No. 123
uncorrected energy = -4.70 eV per atom
formation energy without anion corrections = -0.41 eV/atom
energy above the lowest structure with this stoichiometry = 0.000 eV per formula unit

```
PRhOF2
1.0
4.387 0.000 0.000
0.000 4.387 0.000
0.000 0.000 3.447
P Rh O F
1 1 1 2
direct
0.000 0.000 0.000
0.500 0.500 0.500
0.000 0.000 0.500
0.000 0.500 0.000
0.500 0.000 0.000
```

(8)
Here is P2RhOF after structural relaxation from Alexandria. Energies are from GGA-PBE.

Computed properties:
space-group type = P4/mmm, No. 123
uncorrected energy = -4.73 eV per atom
formation energy without anion corrections = 0.27 eV/atom
energy above the lowest structure with this stoichiometry = 0.000 eV per formula unit

```
P2RhOF
1.0
4.742 0.000 0.000
0.000 4.742 0.000
0.000 0.000 3.703
P Rh O F
2 1 1 1
direct
0.000 0.500 0.000
0.500 0.000 0.000
0.000 0.000 0.000
0.000 0.000 0.500
0.500 0.500 0.500
```

(9)
Here is P2RhOF after structural relaxation from Alexandria. Energies are from GGA-PBE.

Computed properties:
space-group type = P4/mmm, No. 123
uncorrected energy = -4.24 eV per atom
formation energy without anion corrections = 0.76 eV/atom
energy above the lowest structure with this stoichiometry = 2.490 eV per formula unit

```
P2RhOF
1.0
3.977 0.000 0.000
0.000 3.977 0.000
0.000 0.000 4.166
P Rh O F
2 1 1 1
direct
0.000 0.500 0.000
0.500 0.000 0.000
0.000 0.000 0.500
0.500 0.500 0.500
0.500 0.500 0.000
```

(10)
Here is PRhOF2 after structural relaxation from Alexandria. Energies are from GGA-PBE.

Computed properties:
space-group type = P4/mmm, No. 123
uncorrected energy = -4.45 eV per atom
formation energy without anion corrections = -0.16 eV/atom
energy above the lowest structure with this stoichiometry = 1.272 eV per formula unit

```
PRhOF2
1.0
4.356 0.000 0.000
0.000 4.356 0.000
0.000 0.000 3.744
P Rh O F
1 1 1 2
direct
0.000 0.000 0.000
0.500 0.500 0.500
0.500 0.500 0.000
0.000 0.500 0.500
0.500 0.000 0.500
```

(11)
Here is PRhO2F after structural relaxation from Alexandria. Energies are from GGA-PBE.

Computed properties:
space-group type = P4/mmm, No. 123
uncorrected energy = -5.05 eV per atom
formation energy without anion corrections = -0.14 eV/atom

```
PRhO2F
1.0
3.704 0.000 0.000
0.000 3.704 0.000
0.000 0.000 5.124
P Rh O F
1 1 2 1
direct
0.000 0.000 0.000
0.000 0.000 0.500
0.000 0.500 0.500
0.500 0.000 0.500
0.500 0.500 0.000
```

(12)
Here is PRuOF2 after structural relaxation from Alexandria. Energies are from GGA-PBE.

Computed properties:
space-group type = P4/mmm, No. 123
uncorrected energy = -4.94 eV per atom
formation energy without anion corrections = -0.27 eV/atom
energy above the lowest structure with this stoichiometry = 0.000 eV per formula unit

```
PRuOF2
1.0
4.377 0.000 0.000
0.000 4.377 0.000
0.000 0.000 3.679
P Ru O F
1 1 1 2
direct
0.000 0.000 0.000
0.500 0.500 0.500
0.500 0.500 0.000
0.000 0.500 0.500
0.500 0.000 0.500
```